Record 1
Here is a relaxed structure of YH4IrPd2 from Alexandria. Energies are from PBE.

Cell lengths 5.307, 5.292, 5.211 Å; angles 130.07, 130.17, 74.59 degrees
Atoms (fractional coordinates):
Y 0.007 0.507 0.014
H 0.553 0.614 0.573
H 0.839 0.358 0.269
H 0.440 0.925 0.289
H 0.021 0.958 0.574
Ir 0.762 0.760 0.522
Pd 0.506 0.005 0.011
Pd 0.259 0.262 0.522

Calculated values
As for the magnetic moment: 0.0 μB/f.u. As for the total DFT energy (no corrections): -42.3 eV per cell.

Record 2
Here is a relaxed structure of BiB2SbCl from Alexandria. Energies are from PBE.

Cell lengths 4.578, 5.220, 4.578 Å; angles 90.00, 90.00, 90.00 degrees
Atoms (fractional coordinates):
Sb 0.000 0.000 0.000
B 0.000 0.000 0.500
B 0.500 0.000 0.000
Bi 0.500 0.500 0.500
Cl 0.000 0.500 0.000

Calculated values
As for the formation energy (no corrections): 1.40 eV/atom. As for the magnetic moment: 0.0 μB/f.u. As for the total DFT energy (no corrections): -16.2 eV per cell.

Record 3
Here is a relaxed structure of Be2CuSe from Alexandria. Energies are from PBE.

Cell lengths 4.098, 4.098, 3.197 Å; angles 90.00, 90.00, 109.48 degrees
Atoms (fractional coordinates):
Be 0.000 0.000 0.000
Be 0.500 0.500 0.000
Se 0.000 0.500 0.500
Cu 0.500 0.000 0.500

Calculated values
As for the formation energy (no corrections): 0.35 eV/atom. As for the magnetic moment: 0.0 μB/f.u. As for the total DFT energy (no corrections): -13.6 eV per cell.

Record 4
Here is a relaxed structure of Tb2Zn3Ni from Alexandria. Energies are from PBE.

Cell lengths 3.592, 4.346, 7.589 Å; angles 90.00, 90.00, 90.00 degrees
Atoms (fractional coordinates):
Tb 0.000 0.500 0.027
Tb 0.000 0.000 0.480
Zn 0.500 0.000 0.831
Zn 0.500 0.000 0.167
Zn 0.500 0.500 0.662
Ni 0.500 0.500 0.332

Calculated values
As for the magnetic moment: 0.0 μB/f.u. The formation energy from the elements is -0.38 eV/atom. As for the total DFT energy (no corrections): -21.2 eV per cell.

Record 5
Here is a relaxed structure of CsTe6Au from Alexandria. Energies are from PBE.

Cell lengths 8.344, 5.452, 12.332 Å; angles 76.32, 140.86, 110.23 degrees
Atoms (fractional coordinates):
Cs 0.500 0.500 0.500
Te 0.433 0.859 0.146
Te 0.023 0.769 0.469
Te 0.796 0.572 0.057
Te 0.977 0.231 0.531
Te 0.567 0.141 0.854
Te 0.204 0.428 0.943
Au 0.000 0.000 0.000

Calculated values
As for the formation energy (no corrections): -0.17 eV/atom. As for the magnetic moment: 0.0 μB/f.u. As for the total DFT energy (no corrections): -24.3 eV per cell.

Record 6
Here is a relaxed structure of VInCo3 from Alexandria. Energies are from PBE.

Cell lengths 4.251, 4.251, 4.251 Å; angles 90.00, 90.00, 90.00 degrees
Atoms (fractional coordinates):
In 0.500 0.500 0.500
Co 0.000 0.500 0.000
Co 0.000 0.000 0.500
Co 0.500 0.000 0.000
V 0.000 0.000 0.000

Calculated values
As for the magnetic moment: 0.4 μB/f.u. The formation energy from the elements is 0.85 eV/atom. As for the total DFT energy (no corrections): -28.9 eV per cell.

Record 7
Here is a relaxed structure of Pm3ZnSb from Alexandria. Energies are from PBE.

Cell lengths 5.464, 5.464, 5.464 Å; angles 90.00, 90.00, 90.00 degrees
Atoms (fractional coordinates):
Sb 0.500 0.500 0.500
Zn 0.000 0.000 0.000
Pm 0.000 0.500 0.000
Pm 0.000 0.000 0.500
Pm 0.500 0.000 0.000

Calculated values
As for the formation energy (no corrections): -0.17 eV/atom. As for the magnetic moment: 0.0 μB/f.u. As for the total DFT energy (no corrections): -20.5 eV per cell.

Record 8
Here is a relaxed structure of Hf2TaIr from Alexandria. Energies are from PBE.

Cell lengths 4.697, 4.697, 4.697 Å; angles 60.00, 60.00, 60.00 degrees
Atoms (fractional coordinates):
Ir 0.500 0.500 0.500
Hf 0.250 0.250 0.250
Hf 0.750 0.750 0.750
Ta 0.000 0.000 0.000

Calculated values
As for the magnetic moment: 0.0 μB/f.u. The formation energy from the elements is -0.36 eV/atom. As for the total DFT energy (no corrections): -42.1 eV per cell.

Record 9
Here is a relaxed structure of CdAu2Cl from Alexandria. Energies are from PBE.

Cell lengths 5.076, 5.076, 8.440 Å; angles 53.31, 53.31, 40.79 degrees
Atoms (fractional coordinates):
Cl 0.769 0.769 0.726
Au 0.014 0.014 0.136
Au 0.262 0.262 0.203
Cd 0.454 0.454 0.435

Calculated values
As for the formation energy (no corrections): -0.18 eV/atom. As for the magnetic moment: 0.0 μB/f.u. As for the total DFT energy (no corrections): -10.0 eV per cell.

Record 10
Here is a relaxed structure of Rb2Sr2Pd from Alexandria. Energies are from PBE.

Cell lengths 8.278, 8.278, 7.744 Å; angles 90.00, 90.00, 90.00 degrees
Atoms (fractional coordinates):
Sr 0.317 0.817 0.000
Sr 0.817 0.683 0.000
Sr 0.683 0.183 0.000
Sr 0.183 0.317 0.000
Rb 0.184 0.684 0.500
Rb 0.684 0.816 0.500
Rb 0.816 0.316 0.500
Rb 0.316 0.184 0.500
Pd 0.000 0.000 0.000
Pd 0.500 0.500 0.000

Calculated values
As for the magnetic moment: 0.0 μB/f.u. The formation energy from the elements is -0.01 eV/atom. As for the total DFT energy (no corrections): -21.1 eV per cell.

Record 11
Here is a relaxed structure of Tl4PdCl5 from Alexandria. Energies are from PBE.

Cell lengths 6.501, 7.597, 7.597 Å; angles 79.45, 64.67, 64.67 degrees
Atoms (fractional coordinates):
Tl 0.415 0.386 0.787
Tl 0.802 0.787 0.614
Tl 0.202 0.213 0.386
Tl 0.588 0.614 0.213
Pd 0.001 0.000 0.000
Cl 0.903 0.342 0.854
Cl 0.245 0.854 0.658
Cl 0.756 0.146 0.342
Cl 0.099 0.658 0.146
Cl 0.500 0.000 0.000

Calculated values
As for the formation energy (no corrections): -0.77 eV/atom. As for the magnetic moment: 1.0 μB/f.u. As for the total DFT energy (no corrections): -31.6 eV per cell.

Record 12
Here is a relaxed structure of Mg6Cd5Ge from Alexandria. Energies are from PBE.

Cell lengths 4.895, 7.184, 7.422 Å; angles 90.00, 103.09, 90.00 degrees
Atoms (fractional coordinates):
Mg 0.839 0.751 0.675
Mg 0.840 0.249 0.675
Mg 0.500 0.238 0.000
Mg 0.500 0.762 0.000
Mg 0.160 0.751 0.325
Mg 0.161 0.249 0.325
Ge 0.000 0.000 0.000
Cd 0.666 0.500 0.333
Cd 0.327 0.000 0.654
Cd 0.000 0.500 0.000
Cd 0.673 0.000 0.346
Cd 0.334 0.500 0.667

Calculated values
As for the magnetic moment: 0.0 μB/f.u. The formation energy from the elements is -0.09 eV/atom. As for the total DFT energy (no corrections): -19.8 eV per cell.

Record 13
Here is a relaxed structure of ZrMn2ZnIn from Alexandria. Energies are from PBE.

Cell lengths 4.905, 4.734, 4.905 Å; angles 90.00, 90.00, 90.00 degrees
Atoms (fractional coordinates):
Zn 0.000 0.500 0.000
Mn 0.000 0.000 0.500
Mn 0.500 0.000 0.000
Zr 0.500 0.500 0.500
In 0.000 0.000 0.000

Calculated values
As for the magnetic moment: 5.9 μB/f.u. The formation energy from the elements is 1.04 eV/atom. As for the total DFT energy (no corrections): -25.7 eV per cell.

Record 14
Here is a relaxed structure of Cd4OsPt from Alexandria. Energies are from PBE.

Cell lengths 5.428, 5.428, 5.428 Å; angles 60.00, 60.00, 60.00 degrees
Atoms (fractional coordinates):
Cd 0.375 0.875 0.375
Cd 0.875 0.375 0.375
Cd 0.375 0.375 0.875
Cd 0.375 0.375 0.375
Os 0.750 0.750 0.750
Pt 0.000 0.000 0.000

Calculated values
As for the magnetic moment: 0.6 μB/f.u. The formation energy from the elements is 0.69 eV/atom. As for the total DFT energy (no corrections): -16.8 eV per cell.

Record 15
Here is a relaxed structure of BaVSeS2 from Alexandria. Energies are from PBE.

Cell lengths 6.886, 6.886, 5.663 Å; angles 90.00, 90.00, 119.10 degrees
Atoms (fractional coordinates):
S 0.156 0.844 0.000
S 0.841 0.666 0.500
S 0.334 0.159 0.500
S 0.841 0.159 0.500
Ba 0.331 0.669 0.500
Ba 0.664 0.336 0.000
Se 0.164 0.342 0.000
Se 0.658 0.836 0.000
V 0.005 0.995 0.276
V 0.005 0.995 0.724

Calculated values
As for the formation energy (no corrections): -1.29 eV/atom. As for the magnetic moment: 0.0 μB/f.u. As for the total DFT energy (no corrections): -58.5 eV per cell.

Record 16
Here is a relaxed structure of Y3Ag4Sn4 from Alexandria. Energies are from PBE.

Cell lengths 8.808, 8.808, 8.808 Å; angles 149.82, 130.39, 59.17 degrees
Atoms (fractional coordinates):
Y 0.372 0.872 0.500
Y 0.628 0.128 0.500
Y 0.000 0.000 0.000
Ag 0.027 0.328 0.698
Ag 0.973 0.672 0.302
Ag 0.630 0.328 0.302
Ag 0.370 0.672 0.698
Sn 0.215 0.215 0.000
Sn 0.785 0.785 0.000
Sn 0.304 0.500 0.804
Sn 0.696 0.500 0.196

Calculated values
As for the magnetic moment: 0.0 μB/f.u. The formation energy from the elements is -0.50 eV/atom. As for the total DFT energy (no corrections): -52.3 eV per cell.

Record 17
Here is a relaxed structure of NaAcNiBi from Alexandria. Energies are from PBE.

Cell lengths 5.197, 5.197, 5.197 Å; angles 60.00, 60.00, 60.00 degrees
Atoms (fractional coordinates):
Ni 0.750 0.750 0.750
Ac 0.500 0.500 0.500
Bi 0.000 0.000 0.000
Na 0.250 0.250 0.250

Calculated values
As for the magnetic moment: 0.0 μB/f.u. The formation energy from the elements is -0.13 eV/atom. As for the total DFT energy (no corrections): -15.6 eV per cell.

Record 18
Here is a relaxed structure of Na3Sr4 from Alexandria. Energies are from PBE.

Cell lengths 4.151, 4.167, 23.061 Å; angles 94.70, 90.00, 119.87 degrees
Atoms (fractional coordinates):
Na 0.646 0.291 0.937
Na 0.500 0.000 0.500
Na 0.354 0.709 0.063
Sr 0.934 0.868 0.795
Sr 0.066 0.132 0.205
Sr 0.783 0.565 0.357
Sr 0.217 0.435 0.643

Calculated values
As for the magnetic moment: 0.0 μB/f.u. The formation energy from the elements is 0.04 eV/atom. As for the total DFT energy (no corrections): -10.4 eV per cell.

Record 19
Here is a relaxed structure of ZrSc2Co from Alexandria. Energies are from PBE.

Cell lengths 3.227, 3.227, 7.658 Å; angles 90.00, 90.00, 90.00 degrees
Atoms (fractional coordinates):
Co 0.500 0.500 0.751
Sc 0.000 0.000 0.941
Sc 0.500 0.500 0.265
Zr 0.000 0.000 0.543

Calculated values
As for the magnetic moment: 0.3 μB/f.u. The formation energy from the elements is -0.12 eV/atom. As for the total DFT energy (no corrections): -28.8 eV per cell.

Record 20
Here is a relaxed structure of Pm2Nd4Tm from Alexandria. Energies are from PBE.

Cell lengths 6.239, 6.725, 11.757 Å; angles 90.00, 103.70, 90.00 degrees
Atoms (fractional coordinates):
Pm 0.605 0.750 0.993
Pm 0.395 0.250 0.007
Pm 0.286 0.250 0.423
Pm 0.714 0.750 0.577
Nd 0.646 0.511 0.285
Nd 0.035 0.750 0.864
Nd 0.965 0.250 0.136
Nd 0.646 0.989 0.285
Nd 0.848 0.250 0.550
Nd 0.354 0.011 0.715
Nd 0.354 0.489 0.715
Nd 0.152 0.750 0.450
Tm 0.142 0.750 0.161
Tm 0.858 0.250 0.839

Calculated values
As for the magnetic moment: 0.0 μB/f.u. The formation energy from the elements is 0.12 eV/atom. As for the total DFT energy (no corrections): -64.4 eV per cell.